VASP calculation (meta-GGA SCAN) on a crystal of ZrBe2Cd relaxed with PBEsol.

Output
E_form	0.442	eV per atom
total energy	-17.013	eV per atom
mass density	5.9	g cm⁻³

Lattice parameters (Å, degrees): 9.053 9.053 9.053 18.04 18.04 18.04
Atoms (fractional coordinates):
Zr 0.000 0.000 0.000
Be 0.248 0.248 0.248
Be 0.752 0.752 0.752
Cd 0.500 0.500 0.500